The following is a PBE+U calculation of a geometry-optimized Pm2Cr2O7 structure, from Alexandria via LeMat-Bulk.

The structure in POSCAR format:
```
Pm2Cr2O7
1.0
3.648 -4.788 0.000
3.648 4.788 0.000
-3.053 0.000 7.398
Pm Cr O
2 2 7
direct
0.195 0.805 0.000
0.805 0.195 0.000
0.350 0.350 0.263
0.650 0.650 0.737
0.084 0.084 0.197
0.202 0.513 0.140
0.487 0.798 0.860
0.500 0.500 0.500
0.513 0.202 0.140
0.798 0.487 0.860
0.916 0.916 0.803
```

Final energy = -7.72 eV per atom
Density = 3.3 Mg/m³
Total magnetic moment = 4.000 μB/f.u.